Entry 1:
First-principles (PBE) data for MnCuCl6 after structural relaxation, as listed in Alexandria via LeMat-Bulk.

It has space group C2/m (No. 12), with a = 6.597 Å, b = 11.291 Å, c = 6.105 Å, α = 90.00°, β = 105.32° and γ = 90.00°. The distinct sites, in fractional coordinates, are Mn at (0.000, 0.000, 0.000), Cu at (0.000, 0.000, 0.500), Cl at (0.112, 0.140, 0.781) and Cl at (0.184, 0.500, 0.751).

Its uncorrected formation energy is -0.668 eV/atom. The crystal system is monoclinic. The energy above the most stable polymorph in this dataset is 0.00 eV per formula unit.



Entry 2:
First-principles (PBE) data for Ce2PuCoN5 after structural relaxation, as listed in Alexandria via LeMat-Bulk.

It has space group Cmc2_1 (No. 36), with a = 3.432 Å, b = 13.041 Å, c = 10.429 Å, α = 90.00°, β = 90.00° and γ = 90.00°. The distinct sites, in fractional coordinates, are Ce at (0.000, 0.101, 0.000), Ce at (0.000, 0.141, 0.625), Pu at (0.000, 0.198, 0.328), Co at (0.000, 0.483, 0.765), N at (0.000, 0.036, 0.348), N at (0.000, 0.279, 0.973), N at (0.000, 0.330, 0.694), N at (0.000, 0.366, 0.311) and N at (0.000, 0.483, 0.088).

Its uncorrected formation energy is -0.934 eV/atom. The crystal system is orthorhombic.



Entry 3:
First-principles (PBE) data for GaTe2C after structural relaxation, as listed in Alexandria via LeMat-Bulk.

It has space group I-42d (No. 122), with a = 5.749 Å, b = 5.749 Å, c = 12.897 Å, α = 90.00°, β = 90.00° and γ = 90.00°. The distinct sites, in fractional coordinates, are Ga at (0.000, 0.000, 0.000), Te at (0.167, 0.250, 0.625) and C at (0.000, 0.000, 0.500).

Its uncorrected formation energy is 0.939 eV/atom. The crystal system is tetragonal. The energy above the most stable polymorph in this dataset is 0.00 eV per formula unit.



Entry 4:
First-principles (PBE) data for Ag3GeS4 after structural relaxation, as listed in Alexandria via LeMat-Bulk.

It has space group Pmn2_1 (No. 31), with a = 7.889 Å, b = 6.936 Å, c = 6.702 Å, α = 90.00°, β = 90.00° and γ = 90.00°. The distinct sites, in fractional coordinates, are Ag at (0.000, 0.148, 0.000), Ag at (0.247, 0.326, 0.495), Ge at (0.000, 0.824, 0.506), S at (0.000, 0.130, 0.623), S at (0.000, 0.821, 0.169) and S at (0.234, 0.673, 0.618).

Its uncorrected formation energy is -0.153 eV/atom. The crystal system is orthorhombic. The energy above the most stable polymorph in this dataset is 0.02 eV per formula unit.



Entry 5:
First-principles (PBE) data for Li2Ce2Cu15 after structural relaxation, as listed in Alexandria via LeMat-Bulk.

It has space group R-3m (No. 166, hexagonal axes), with a = 8.6337 Å, b = 8.6337 Å, c = 12.6622 Å, α = 90.00°, β = 90.00° and γ = 120.00°. The distinct sites, in fractional coordinates, are Li at (0.0000, 0.0000, 0.0931), Ce at (0.0000, 0.0000, 0.3481), Cu at (0.0000, 0.3004, 0.0000), Cu at (0.0000, 0.5000, 0.5000) and Cu at (0.0005, 0.5003, 0.8439).

The crystal system is trigonal. The calculation puts the formation energy at -1.687 eV per formula unit.



Entry 6:
First-principles (PBE) data for PrNd2Ho6Tm3 after structural relaxation, as listed in Alexandria via LeMat-Bulk.

It has space group C2/m (No. 12), with a = 6.169 Å, b = 10.677 Å, c = 11.766 Å, α = 90.00°, β = 100.04° and γ = 90.00°. The distinct sites, in fractional coordinates, are Pr at (0.000, 0.000, 0.000), Nd at (0.000, 0.333, 0.000), Ho at (0.247, 0.000, 0.744), Ho at (0.247, 0.333, 0.744), Tm at (0.000, 0.167, 0.500) and Tm at (0.000, 0.500, 0.500).

The crystal system is monoclinic. The calculation puts the formation energy at 0.281 eV per formula unit.



| no. | total DFT energy (no corrections) (eV per cell) |
| --- | --- |
| 1 | -59.37 |
| 2 | -333.35 |
| 3 | -59.11 |
| 4 | -61.81 |
| 5 | -236.48 |
| 6 | -109.83 |